Here is Y3NbPd after structural relaxation from Alexandria via LeMat-Bulk. Energies are from PBE.

Values from the calculation:
The value obtained for the mass density is 5156 kg/m³. For the density of states at the Fermi level, the calculation gives 0.704 states/eV per atom. The volume comes out at 30.0 Å³ per atom. Its energy above the most stable polymorph in this dataset is 18.0 kJ/mol of atoms. Its crystal system is cubic.

Cell lengths 5.314, 5.314, 5.314 Å; angles 90.00, 90.00, 90.00 degrees
Fractional coordinates of all 5 atoms:
Nb 0.000 0.000 0.000
Y 0.000 0.000 0.500
Y 0.500 0.000 0.000
Y 0.000 0.500 0.000
Pd 0.500 0.500 0.500